# PBE La5Ag4Pd, relaxed
# E_form   -3.555 eV per formula unit
# VASP energy   -4.48 eV/atom
data_La5Ag4Pd
_chemical_formula_sum 'La5 Ag4 Pd1'
_cell_length_a 3.772
_cell_length_b 3.772
_cell_length_c 19.209
_cell_angle_alpha 90.00
_cell_angle_beta 90.00
_cell_angle_gamma 90.00
_symmetry_space_group_name_H-M 'P 4/m m m'
_symmetry_Int_Tables_number 123
_symmetry_space_group_name_Hall '-P 4 2'
loop_
_atom_site_label
_atom_site_type_symbol
_atom_site_fract_x
_atom_site_fract_y
_atom_site_fract_z
_atom_site_occupancy
La1 La 0.000 0.000 0.000 1
La2 La 0.000 0.000 0.204 1
La3 La 0.000 0.000 0.409 1
Ag1 Ag 0.500 0.500 0.102 1
Ag2 Ag 0.500 0.500 0.304 1
Pd1 Pd 0.500 0.500 0.500 1


# PBE La6AgPd, relaxed
# E_form   -1.809 eV per formula unit
# VASP energy   -4.93 eV/atom
data_La6AgPd
_chemical_formula_sum 'La12 Ag2 Pd2'
_cell_length_a 5.329
_cell_length_b 5.329
_cell_length_c 17.610
_cell_angle_alpha 90.00
_cell_angle_beta 90.00
_cell_angle_gamma 90.00
_symmetry_space_group_name_H-M 'I 4/m m m'
_symmetry_Int_Tables_number 139
_symmetry_space_group_name_Hall '-I 4 2'
loop_
_atom_site_label
_atom_site_type_symbol
_atom_site_fract_x
_atom_site_fract_y
_atom_site_fract_z
_atom_site_occupancy
La1 La 0.000 0.000 0.250 1
La2 La 0.000 0.500 0.104 1
Ag1 Ag 0.000 0.000 0.000 1
Pd1 Pd 0.000 0.000 0.500 1


# PBE La3AgPd, relaxed
# E above lowest polymorph   1.65 eV per formula unit
# E_form   -0.277 eV per formula unit
# VASP energy   -4.62 eV/atom
data_La3AgPd
_chemical_formula_sum 'La3 Ag1 Pd1'
_cell_length_a 5.665
_cell_length_b 5.665
_cell_length_c 5.665
_cell_angle_alpha 90.00
_cell_angle_beta 90.00
_cell_angle_gamma 90.00
_symmetry_space_group_name_H-M 'P m -3 m'
_symmetry_Int_Tables_number 221
_symmetry_space_group_name_Hall '-P 4 2 3'
loop_
_atom_site_label
_atom_site_type_symbol
_atom_site_fract_x
_atom_site_fract_y
_atom_site_fract_z
_atom_site_occupancy
La1 La 0.000 0.000 0.500 1
Ag1 Ag 0.500 0.500 0.500 1
Pd1 Pd 0.000 0.000 0.000 1